# NiAs2SeF

A geometry-optimized NiAs2SeF structure (PBE with a Hubbard U, Alexandria via LeMat-Bulk).

Unit cell a=4.277 b=4.277 c=5.307 alpha=90.00 beta=90.00 gamma=90.00
Atoms (fractional coordinates):
1 Ni 0.000 0.000 0.000
2 As 0.000 0.500 0.500
3 As 0.500 0.000 0.500
4 Se 0.500 0.500 0.000
5 F 0.500 0.500 0.500

Summary:
VASP energy (eV per atom): -2.902
ΔE to the lowest computed polymorph (eV/atom): 0.119
Symmetry: P4/mmm (123)
D(E_F) (states/eV/atom): 0.562